1.
# CaSmSe2 | Alexandria | PBE | optimized geometry
data_CaSmSe2
_cell_length_a 7.193
_cell_length_b 4.152
_cell_length_c 7.341
_cell_angle_alpha 90.00
_cell_angle_beta 108.97
_cell_angle_gamma 90.00
_symmetry_space_group_name_H-M 'C 1 2/m 1'
_symmetry_Int_Tables_number 12
_symmetry_space_group_name_Hall '-C 2y'
loop_
_atom_site_label
_atom_site_fract_x
_atom_site_fract_y
_atom_site_fract_z
Ca1 0.000 0.000 0.000
Sm1 0.000 0.500 0.500
Se1 0.249 0.500 0.247
# Excess energy over the best structure of this formula in the dataset ... 0.0000 eV/atom
# Theoretical density ... 5.6 g cm⁻³
# Total moment ... 0.00 μB/cell
# Raw formation energy ... -1899 meV per atom



2.
# CaSm3Se4 | Alexandria | PBE | optimized geometry
data_CaSm3Se4
_cell_length_a 5.906
_cell_length_b 5.906
_cell_length_c 5.906
_cell_angle_alpha 90.00
_cell_angle_beta 90.00
_cell_angle_gamma 90.00
_symmetry_space_group_name_H-M 'P m -3 m'
_symmetry_Int_Tables_number 221
_symmetry_space_group_name_Hall '-P 4 2 3'
loop_
_atom_site_label
_atom_site_fract_x
_atom_site_fract_y
_atom_site_fract_z
Ca1 0.000 0.000 0.000
Sm1 0.000 0.500 0.500
Se1 0.000 0.000 0.500
Se2 0.500 0.500 0.500
# Excess energy over the best structure of this formula in the dataset ... 0.0021 eV/atom
# Theoretical density ... 6.5 g cm⁻³
# Total moment ... 0.00 μB/cell
# Raw formation energy ... -1854 meV per atom



3.
# CaSm2Se4 | Alexandria | PBE | optimized geometry
data_CaSm2Se4
_cell_length_a 8.864
_cell_length_b 8.864
_cell_length_c 8.917
_cell_angle_alpha 90.00
_cell_angle_beta 90.00
_cell_angle_gamma 90.00
_symmetry_space_group_name_H-M 'I -4 2 d'
_symmetry_Int_Tables_number 122
_symmetry_space_group_name_Hall 'I -4 2bw'
loop_
_atom_site_label
_atom_site_fract_x
_atom_site_fract_y
_atom_site_fract_z
Ca1 0.000 0.000 0.000
Sm1 0.127 0.250 0.625
Se1 0.073 0.178 0.306
# Excess energy over the best structure of this formula in the dataset ... 0.0000 eV/atom
# Theoretical density ... 6.2 g cm⁻³
# Total moment ... 0.00 μB/cell
# Raw formation energy ... -1913 meV per atom



4.
# CaSmSe2 | Alexandria | PBE | optimized geometry
data_CaSmSe2
_cell_length_a 4.1178
_cell_length_b 4.1178
_cell_length_c 14.2652
_cell_angle_alpha 90.00
_cell_angle_beta 90.00
_cell_angle_gamma 120.00
_symmetry_space_group_name_H-M 'P 63/m m c'
_symmetry_Int_Tables_number 194
_symmetry_space_group_name_Hall '-P 6c 2c'
loop_
_atom_site_label
_atom_site_fract_x
_atom_site_fract_y
_atom_site_fract_z
Ca1 0.3333 0.6667 0.2500
Sm1 0.0000 0.0000 0.0000
Se1 0.3333 0.6667 0.6233
# Excess energy over the best structure of this formula in the dataset ... 0.0495 eV/atom
# Theoretical density ... 5.5 g cm⁻³
# Total moment ... 0.00 μB/cell
# Raw formation energy ... -1850 meV per atom



5.
# CaSm4Se5 | Alexandria | PBE | optimized geometry
data_CaSm4Se5
_cell_length_a 4.171
_cell_length_b 4.171
_cell_length_c 29.639
_cell_angle_alpha 90.00
_cell_angle_beta 90.00
_cell_angle_gamma 90.00
_symmetry_space_group_name_H-M 'I 4/m m m'
_symmetry_Int_Tables_number 139
_symmetry_space_group_name_Hall '-I 4 2'
loop_
_atom_site_label
_atom_site_fract_x
_atom_site_fract_y
_atom_site_fract_z
Ca1 0.000 0.000 0.000
Sm1 0.000 0.000 0.199
Sm2 0.000 0.000 0.398
Se1 0.000 0.000 0.099
Se2 0.000 0.000 0.299
Se3 0.000 0.000 0.500
# Excess energy over the best structure of this formula in the dataset ... 0.0000 eV/atom
# Theoretical density ... 6.7 g cm⁻³
# Total moment ... 0.00 μB/cell
# Raw formation energy ... -1854 meV per atom



6.
# Ca6SmSe8 | Alexandria | PBE | optimized geometry
data_Ca6SmSe8
_cell_length_a 11.913
_cell_length_b 11.913
_cell_length_c 11.913
_cell_angle_alpha 90.00
_cell_angle_beta 90.00
_cell_angle_gamma 90.00
_symmetry_space_group_name_H-M 'F m -3 m'
_symmetry_Int_Tables_number 225
_symmetry_space_group_name_Hall '-F 4 2 3'
loop_
_atom_site_label
_atom_site_fract_x
_atom_site_fract_y
_atom_site_fract_z
Ca1 0.000 0.250 0.250
Sm1 0.000 0.000 0.000
Se1 0.000 0.000 0.245
Se2 0.250 0.250 0.250
# Theoretical density ... 4.0 g cm⁻³
# Total moment ... 0.00 μB/cell
# Raw formation energy ... -1869 meV per atom



7.
# CaSm3Se4 | Alexandria | PBE | optimized geometry
data_CaSm3Se4
_cell_length_a 8.406
_cell_length_b 11.805
_cell_length_c 4.154
_cell_angle_alpha 90.00
_cell_angle_beta 90.00
_cell_angle_gamma 90.00
_symmetry_space_group_name_H-M 'C m m m'
_symmetry_Int_Tables_number 65
_symmetry_space_group_name_Hall '-C 2 2'
loop_
_atom_site_label
_atom_site_fract_x
_atom_site_fract_y
_atom_site_fract_z
Ca1 0.000 0.000 0.000
Sm1 0.000 0.500 0.000
Sm2 0.250 0.250 0.500
Se1 0.000 0.248 0.000
Se2 0.247 0.000 0.500
# Excess energy over the best structure of this formula in the dataset ... 0.0000 eV/atom
# Theoretical density ... 6.5 g cm⁻³
# Total moment ... 0.00 μB/cell
# Raw formation energy ... -1856 meV per atom



8.
# Ca2SmSe3 | Alexandria | PBE | optimized geometry
data_Ca2SmSe3
_cell_length_a 4.175
_cell_length_b 5.933
_cell_length_c 12.611
_cell_angle_alpha 90.00
_cell_angle_beta 90.00
_cell_angle_gamma 90.00
_symmetry_space_group_name_H-M 'I m m m'
_symmetry_Int_Tables_number 71
_symmetry_space_group_name_Hall '-I 2 2'
loop_
_atom_site_label
_atom_site_fract_x
_atom_site_fract_y
_atom_site_fract_z
Ca1 0.000 0.000 0.168
Sm1 0.000 0.000 0.500
Se1 0.000 0.500 0.167
Se2 0.000 0.500 0.500
# Theoretical density ... 5.0 g cm⁻³
# Total moment ... 0.00 μB/cell
# Raw formation energy ... -1931 meV per atom



9.
# CaSmSe2 | Alexandria | PBE | optimized geometry
data_CaSmSe2
_cell_length_a 4.0859
_cell_length_b 4.0859
_cell_length_c 21.9085
_cell_angle_alpha 90.00
_cell_angle_beta 90.00
_cell_angle_gamma 120.00
_symmetry_space_group_name_H-M 'R 3 m'
_symmetry_Int_Tables_number 160
_symmetry_space_group_name_Hall 'R 3 -2"'
loop_
_atom_site_label
_atom_site_fract_x
_atom_site_fract_y
_atom_site_fract_z
Ca1 0.0000 0.0000 0.0000
Sm1 0.0000 0.0000 0.8266
Se1 0.0000 0.0000 0.2442
Se2 0.0000 0.0000 0.4130
# Excess energy over the best structure of this formula in the dataset ... 0.0856 eV/atom
# Theoretical density ... 5.5 g cm⁻³
# Total moment ... 0.00 μB/cell
# Raw formation energy ... -1814 meV per atom



10.
# Ca4Sm3Se8 | Alexandria | PBE | optimized geometry
data_Ca4Sm3Se8
_cell_length_a 8.3491
_cell_length_b 8.3491
_cell_length_c 22.7089
_cell_angle_alpha 90.00
_cell_angle_beta 90.00
_cell_angle_gamma 120.00
_symmetry_space_group_name_H-M 'R -3 m'
_symmetry_Int_Tables_number 166
_symmetry_space_group_name_Hall '-R 3 2"'
loop_
_atom_site_label
_atom_site_fract_x
_atom_site_fract_y
_atom_site_fract_z
Ca1 0.0000 0.0000 0.0000
Ca2 0.0000 0.0000 0.1459
Ca3 0.0000 0.0000 0.5000
Sm1 0.0000 0.5000 0.0000
Se1 0.0000 0.0000 0.2656
Se2 0.0048 0.5024 0.2547
# Theoretical density ... 4.5 g cm⁻³
# Total moment ... 0.00 μB/cell
# Raw formation energy ... -1803 meV per atom



11.
# CaSmSe3 | Alexandria | PBE | optimized geometry
data_CaSmSe3
_cell_length_a 7.7988
_cell_length_b 7.7988
_cell_length_c 16.4149
_cell_angle_alpha 90.00
_cell_angle_beta 90.00
_cell_angle_gamma 120.00
_symmetry_space_group_name_H-M 'R -3 c'
_symmetry_Int_Tables_number 167
_symmetry_space_group_name_Hall '-R 3 2"c'
loop_
_atom_site_label
_atom_site_fract_x
_atom_site_fract_y
_atom_site_fract_z
Ca1 0.0000 0.0000 0.0000
Sm1 0.0000 0.0000 0.2500
Se1 0.0000 0.3642 0.2500
# Theoretical density ... 4.9 g cm⁻³
# Total moment ... 0.00 μB/cell
# Raw formation energy ... -1356 meV per atom



12.
# CaSm5Se8 | Alexandria | PBE | optimized geometry
data_CaSm5Se8
_cell_length_a 8.844
_cell_length_b 8.844
_cell_length_c 8.905
_cell_angle_alpha 90.00
_cell_angle_beta 90.00
_cell_angle_gamma 90.00
_symmetry_space_group_name_H-M 'I -4'
_symmetry_Int_Tables_number 82
_symmetry_space_group_name_Hall 'I -4'
loop_
_atom_site_label
_atom_site_fract_x
_atom_site_fract_y
_atom_site_fract_z
Ca1 0.000 0.000 0.000
Sm1 0.000 0.500 0.250
Sm2 0.122 0.251 0.628
Se1 0.073 0.322 0.950
Se2 0.074 0.179 0.307
# Theoretical density ... 6.8 g cm⁻³
# Total moment ... 0.00 μB/cell
# Raw formation energy ... -1874 meV per atom



13.
# CaSm2Se4 | Alexandria | PBE | optimized geometry
data_CaSm2Se4
_cell_length_a 4.133
_cell_length_b 13.690
_cell_length_c 14.177
_cell_angle_alpha 90.00
_cell_angle_beta 90.00
_cell_angle_gamma 90.00
_symmetry_space_group_name_H-M 'C m c m'
_symmetry_Int_Tables_number 63
_symmetry_space_group_name_Hall '-C 2c 2'
loop_
_atom_site_label
_atom_site_fract_x
_atom_site_fract_y
_atom_site_fract_z
Ca1 0.000 0.114 0.250
Sm1 0.000 0.366 0.072
Se1 0.000 0.000 0.000
Se2 0.000 0.275 0.620
Se3 0.000 0.465 0.250
# Excess energy over the best structure of this formula in the dataset ... 0.0247 eV/atom
# Theoretical density ... 5.4 g cm⁻³
# Total moment ... 0.00 μB/cell
# Raw formation energy ... -1888 meV per atom